## Co3O2F4 (PBE+U)

Data for crystalline Co3O2F4 at its relaxed geometry.

It has space group Pnnm (No. 58), with a = 4.627 Å, b = 13.847 Å, c = 3.089 Å, α = 90.00°, β = 90.00° and γ = 90.00°. The inequivalent atoms are Co at (0.000, 0.000, 0.000), Co at (0.068, 0.342, 0.000), O at (0.235, 0.403, 0.500), F at (0.137, 0.729, 0.500) and F at (0.210, 0.065, 0.500).

The magnetization is 7.69 μB/f.u. The calculation puts the polymorph energy (0 for the lowest one) at 6 meV/atom.